VASP calculation (GGA-PBE) on a geometry-optimized RbFeW structure.

Properties
magnetic moment: 0.02 μB/f.u.
E above lowest polymorph: 0.000 eV/atom
E_tot: -4.936 eV per atom

Cell: 6.5055 6.5055 6.5055 Å, 90.00 90.00 90.00°
Space group F-43m (No. 216)
Inequivalent atoms, fractional coordinates:
Rb (0.0000, 0.0000, 0.0000) x4
Fe (0.2500, 0.2500, 0.2500) x4
W (0.0000, 0.0000, 0.5000) x4


VASP calculation (GGA-PBE) on a geometry-optimized CsUFe structure.

Properties
magnetic moment: 0.02 μB/f.u.
E above lowest polymorph: 0.000 eV/atom
E_tot: -4.959 eV per atom

Cell: 6.5698 6.5698 6.5698 Å, 90.00 90.00 90.00°
Space group F-43m (No. 216)
Inequivalent atoms, fractional coordinates:
Cs (0.0000, 0.0000, 0.0000) x4
U (0.0000, 0.0000, 0.5000) x4
Fe (0.2500, 0.2500, 0.7500) x4